Record 1
ErTm3Ir4 | PBE-GGA | optimized geometry

abc: 4.701 4.701 14.016
angles: 90.00 90.00 90.00
Space group I4/mmm (No. 139)
One atom of each set of equivalent atoms:
Er: 0.000 0.000 0.000 x2
Tm: 0.000 0.000 0.250 x4
Tm: 0.000 0.000 0.500 x2
Ir: 0.000 0.500 0.125 x8

Uncorrected energy, eV/atom: -7.59
Spin magnetization, μB per formula unit: 0.00

Record 2
ErTmIr2 | PBE-GGA | optimized geometry

abc: 4.676 4.676 3.550
angles: 90.00 90.00 90.00
Space group P4/mmm (No. 123)
One atom of each set of equivalent atoms:
Er: 0.000 0.000 0.000 x1
Tm: 0.500 0.500 0.000 x1
Ir: 0.000 0.500 0.500 x2

Uncorrected energy, eV/atom: -7.59
Polymorph energy (0 for the lowest one), meV per atom: 0
Spin magnetization, μB per formula unit: 0.00

Record 3
ErTm2Ir | PBE-GGA | optimized geometry

abc: 3.426 3.426 8.698
angles: 90.00 90.00 90.00
Space group P4/mmm (No. 123)
One atom of each set of equivalent atoms:
Er: 0.000 0.000 0.000 x1
Tm: 0.500 0.500 0.313 x2
Ir: 0.000 0.000 0.500 x1

Uncorrected energy, eV/atom: -6.03
Polymorph energy (0 for the lowest one), meV per atom: 183
Spin magnetization, μB per formula unit: 0.00

Record 4
ErTm4Ir5 | PBE-GGA | optimized geometry

abc: 3.307 3.307 17.672
angles: 90.00 90.00 90.00
Space group P4/mmm (No. 123)
One atom of each set of equivalent atoms:
Er: 0.000 0.000 0.000 x1
Tm: 0.000 0.000 0.201 x2
Tm: 0.000 0.000 0.400 x2
Ir: 0.500 0.500 0.101 x2
Ir: 0.500 0.500 0.300 x2
Ir: 0.500 0.500 0.500 x1

Uncorrected energy, eV/atom: -7.58
Spin magnetization, μB per formula unit: 0.00

Record 5
Er3TmIr2 | PBE-GGA | optimized geometry

abc: 6.682 13.461 6.992
angles: 90.00 90.00 90.00
Space group Ibam (No. 72)
One atom of each set of equivalent atoms:
Er: 0.000 0.000 0.250 x4
Er: 0.000 0.267 0.250 x8
Tm: 0.000 0.500 0.000 x4
Ir: 0.213 0.138 0.000 x8

Uncorrected energy, eV/atom: -6.67
Polymorph energy (0 for the lowest one), meV per atom: 0
Spin magnetization, μB per formula unit: 0.00

Record 6
ErTm2Ir | PBE-GGA | optimized geometry

abc: 3.871 11.893 8.944
angles: 90.00 90.00 90.00
Space group Cmcm (No. 63)
One atom of each set of equivalent atoms:
Er: 0.000 0.073 0.250 x4
Tm: 0.000 0.358 0.065 x8
Ir: 0.000 0.254 0.750 x4

Uncorrected energy, eV/atom: -6.18
Polymorph energy (0 for the lowest one), meV per atom: 36
Spin magnetization, μB per formula unit: 0.00

- Which value of spin magnetization does entry 4 give?
  0.00 μB per formula unit

- uncorrected energy of number 2 (ErTmIr2)?
  -7.59 eV/atom

- Among the records above, which one has the highest uncorrected energy?
  number 3